(1)
LiAgTe2PbSe (GGA-PBE, relaxed); E_tot = -40.54 eV/cell; calculated density = 6.37 Mg/m³; calculated volume = 28.50 A^3/atom
1.0
2.1903 -7.4914 0.0000
2.1903 7.4914 0.0000
0.0000 0.0000 10.4204
Li Ag Te Pb Se
2 2 4 2 2
direct
0.2316 0.7684 0.7500
0.7684 0.2316 0.2500
0.0157 0.9843 0.7500
0.9843 0.0157 0.2500
0.1521 0.8479 0.1134
0.1521 0.8479 0.3866
0.8479 0.1521 0.6134
0.8479 0.1521 0.8866
0.5000 0.5000 0.0000
0.5000 0.5000 0.5000
0.3842 0.6158 0.2500
0.6158 0.3842 0.7500

---

(2)
LiCo3Sn5 (GGA-PBE, relaxed); total moment = 0.00 μB/atom; E_tot = -43.66 eV/cell; calculated density = 7.21 Mg/m³; calculated volume = 19.90 A^3/atom
1.0
5.2355 0.0000 0.0000
-2.6178 4.5341 0.0000
0.0000 0.0000 7.5434
Li Co Sn
1 3 5
direct
0.0000 0.0000 0.0000
0.0000 0.5000 0.5000
0.5000 0.0000 0.5000
0.5000 0.5000 0.5000
0.0000 0.0000 0.5000
0.3333 0.6667 0.2142
0.3333 0.6667 0.7858
0.6667 0.3333 0.2142
0.6667 0.3333 0.7858

---

(3)
YFeSnAu (GGA-PBE, relaxed); total moment = 0.53 μB/atom; E_tot = -91.70 eV/cell; calculated density = 9.92 Mg/m³; calculated volume = 19.28 A^3/atom
1.0
6.7564 0.0000 0.0000
0.0000 6.7564 0.0000
0.0000 0.0000 6.7564
Y Fe Sn Au
4 4 4 4
direct
0.0000 0.0000 0.0000
0.0000 0.5000 0.5000
0.5000 0.0000 0.5000
0.5000 0.5000 0.0000
0.2500 0.2500 0.7500
0.2500 0.7500 0.2500
0.7500 0.2500 0.2500
0.7500 0.7500 0.7500
0.0000 0.0000 0.5000
0.0000 0.5000 0.0000
0.5000 0.0000 0.0000
0.5000 0.5000 0.5000
0.2500 0.2500 0.2500
0.2500 0.7500 0.7500
0.7500 0.2500 0.7500
0.7500 0.7500 0.2500

---

(4)
Sm4CBrF4 (GGA-PBE, relaxed); total moment = 0.00 μB/atom; E_tot = -61.39 eV/cell; calculated density = 6.43 Mg/m³; calculated volume = 19.86 A^3/atom
1.0
7.4635 -1.8497 0.0000
7.4635 1.8497 0.0000
-3.6793 0.0000 7.1937
Sm C Br F
4 1 1 4
direct
0.0064 0.0064 0.2109
0.3207 0.3207 0.8560
0.6793 0.6793 0.1440
0.9936 0.9936 0.7891
0.5000 0.5000 0.0000
0.5000 0.5000 0.5000
0.1783 0.1783 0.9432
0.1936 0.1936 0.3359
0.8064 0.8064 0.6641
0.8217 0.8217 0.0568

---

(5)
GdErMg6 (GGA-PBE, relaxed); total moment = 0.00 μB/atom; E_tot = -19.07 eV/cell; calculated density = 3.99 Mg/m³; calculated volume = 24.50 A^3/atom
1.0
5.1733 0.0000 0.0000
0.0000 7.3213 0.0000
0.0000 0.0000 5.1745
Gd Er Mg
1 1 6
direct
0.0000 0.0000 0.0000
0.5000 0.5000 0.4918
0.0000 0.2525 0.5005
0.0000 0.5000 0.9996
0.0000 0.7475 0.5005
0.5000 0.0000 0.4927
0.5000 0.2526 0.9914
0.5000 0.7474 0.9914

---

(6)
NbPtNO (GGA-PBE, relaxed); total moment = 0.01 μB/atom; E_tot = -60.44 eV/cell; calculated density = 11.63 Mg/m³; calculated volume = 11.35 A^3/atom
1.0
3.5909 0.0000 0.0000
0.0000 3.5909 0.0000
0.0000 0.0000 7.0397
Nb Pt N O
2 2 2 2
direct
0.2500 0.2500 0.1760
0.7500 0.7500 0.8240
0.2500 0.7500 0.5000
0.7500 0.2500 0.5000
0.2500 0.2500 0.7407
0.7500 0.7500 0.2593
0.2500 0.7500 0.0000
0.7500 0.2500 0.0000